This record from the Alexandria database describes a relaxed structure of TbSmInIr. The functional is GGA-PBE.

a b c (Å): 7.2685 7.2685 7.2685
angles (deg): 90.00 90.00 90.00
Sites, in units of the cell vectors:
Tb  0.0000  0.0000  0.0000
Tb  0.0000  0.5000  0.5000
Tb  0.5000  0.0000  0.5000
Tb  0.5000  0.5000  0.0000
Sm  0.0000  0.0000  0.5000
Sm  0.0000  0.5000  0.0000
Sm  0.5000  0.0000  0.0000
Sm  0.5000  0.5000  0.5000
In  0.2500  0.2500  0.7500
In  0.2500  0.7500  0.2500
In  0.7500  0.2500  0.2500
In  0.7500  0.7500  0.7500
Ir  0.2500  0.2500  0.2500
Ir  0.2500  0.7500  0.7500
Ir  0.7500  0.2500  0.7500
Ir  0.7500  0.7500  0.2500

Values from the calculation:
E: -5.73 eV per atom